Entry from the Alexandria database: an optimized crystal structure of PmPr4Sm (GGA-PBE).

```
PmPr4Sm
1.0
5.8454 0.0000 0.0000
-2.9227 5.8965 1.9096
0.0000 0.3872 12.3975
Pm Pr Sm
2 8 2
Direct
0.5000 0.5000 0.0000 Pm
0.0000 0.5000 0.5000 Pm
0.9589 0.4165 0.2084 Pr
0.5425 0.5835 0.2916 Pr
0.0411 0.5835 0.7916 Pr
0.4575 0.4165 0.7084 Pr
0.2920 0.0840 0.5422 Pr
0.2079 0.9160 0.9578 Pr
0.7080 0.9160 0.4578 Pr
0.7921 0.0840 0.0422 Pr
0.2505 0.0000 0.2500 Sm
0.7495 0.0000 0.7500 Sm
```

## Properties
calculated volume: 423 Å³ per cell
final energy: -4.710 eV/atom
relative energy among the computed polymorphs: 0.0000 eV/atom
symmetry: Immm
calculated formation energy: 0.331 eV per formula unit
theoretical density: 6.74 g/cm³

---

Entry from the Alexandria database: an optimized crystal structure of KHgPb2 (GGA-PBE).

```
KHgPb2
1.0
11.2827 -0.0097 -0.0057
10.6783 3.6434 -0.0057
10.6783 1.7668 3.1864
Hg K Pb
1 1 2
Direct
0.2500 0.2500 0.2500 Hg
0.7500 0.7500 0.7500 K
0.9899 0.9899 0.9899 Pb
0.5101 0.5101 0.5101 Pb
```

## Properties
calculated volume: 132 Å³ per cell
final energy: -2.142 eV/atom
symmetry: R-3m
calculated formation energy: 0.247 eV per formula unit
theoretical density: 8.26 g/cm³

---

Entry from the Alexandria database: an optimized crystal structure of Sc5CoNi4 (GGA-PBE).

```
Sc5CoNi4
1.0
3.1331 0.0000 0.0000
0.0000 3.1331 0.0000
0.0000 0.0000 16.0839
Sc Co Ni
5 1 4
Direct
0.5000 0.5000 0.0966 Sc
0.5000 0.5000 0.2986 Sc
0.5000 0.5000 0.5000 Sc
0.5000 0.5000 0.7014 Sc
0.5000 0.5000 0.9034 Sc
0.0000 0.0000 0.0000 Co
0.0000 0.0000 0.1985 Ni
0.0000 0.0000 0.3992 Ni
0.0000 0.0000 0.6008 Ni
0.0000 0.0000 0.8015 Ni
```

## Properties
calculated volume: 158 Å³ per cell
final energy: -6.664 eV/atom
symmetry: P4/mmm
calculated formation energy: -4.749 eV per formula unit
theoretical density: 5.45 g/cm³

---

Entry from the Alexandria database: an optimized crystal structure of Y2Er (GGA-PBE).

```
Y2Er
1.0
-3.9775 -3.0006 0.5454
1.1958 -6.5539 -4.3056
3.3912 -8.7457 -0.3528
Y Er
4 2
Direct
0.9174 0.9152 0.2500 Y
0.2498 0.2504 0.2500 Y
0.7502 0.7496 0.7500 Y
0.0826 0.0848 0.7500 Y
0.5828 0.5844 0.2500 Er
0.4172 0.4156 0.7500 Er
```

## Properties
calculated volume: 190 Å³ per cell
final energy: -5.803 eV/atom
relative energy among the computed polymorphs: 0.0228 eV/atom
symmetry: Cmcm
calculated formation energy: 0.081 eV per formula unit
theoretical density: 6.05 g/cm³

---

Entry from the Alexandria database: an optimized crystal structure of PmTmTcNi (GGA-PBE).

```
PmTmTcNi
1.0
4.8347 0.0000 0.0000
2.4173 4.1869 0.0000
2.4173 1.3956 3.9475
Ni Tm Tc Pm
1 1 1 1
Direct
0.7500 0.7500 0.7500 Ni
0.0000 0.0000 0.0000 Tm
0.2500 0.2500 0.2500 Tc
0.5000 0.5000 0.5000 Pm
```

## Properties
calculated volume: 80 Å³ per cell
final energy: -6.405 eV/atom
symmetry: F-43m
calculated formation energy: -0.252 eV per formula unit
theoretical density: 9.78 g/cm³

---

Entry from the Alexandria database: an optimized crystal structure of H3RhAu (GGA-PBE).

```
H3RhAu
1.0
3.5707 0.0000 0.0000
0.0000 3.5707 0.0000
0.0000 0.0000 3.5707
Rh Au H
1 1 3
Direct
0.5000 0.5000 0.5000 Rh
0.0000 0.0000 0.0000 Au
0.0000 0.5000 0.0000 H
0.0000 0.0000 0.5000 H
0.5000 0.0000 0.0000 H
```

## Properties
calculated volume: 46 Å³ per cell
final energy: -3.565 eV/atom
relative energy among the computed polymorphs: 0.4011 eV/atom
symmetry: Pm-3m
theoretical density: 11.05 g/cm³

---

Entry from the Alexandria database: an optimized crystal structure of HfMgCoRh (GGA-PBE).

```
HfMgCoRh
1.0
-0.4779 3.1381 -0.0524
-3.1120 -0.4807 -0.4042
-0.7920 -0.0185 6.1195
Hf Mg Co Rh
1 1 1 1
Direct
0.0000 0.0000 0.3451 Hf
0.0000 0.0000 0.8628 Mg
0.5000 0.5000 0.1150 Co
0.5000 0.5000 0.6050 Rh
```

## Properties
calculated volume: 62 Å³ per cell
final energy: -7.039 eV/atom
relative energy among the computed polymorphs: 0.0021 eV/atom
symmetry: P4mm
calculated formation energy: -2.150 eV per formula unit
theoretical density: 9.74 g/cm³

---

Entry from the Alexandria database: an optimized crystal structure of Li2Pm2SmTl2 (GGA-PBE).

```
Li2Pm2SmTl2
1.0
-0.6795 0.0148 4.8537
-3.7913 -2.4166 1.9510
3.6405 -8.2517 3.0091
Li Pm Sm Tl
2 2 1 2
Direct
0.6050 0.6050 0.1849 Li
0.3950 0.3950 0.8151 Li
0.1269 0.1269 0.6194 Pm
0.8731 0.8731 0.3806 Pm
0.0000 0.0000 0.0000 Sm
0.7363 0.7363 0.7912 Tl
0.2637 0.2637 0.2088 Tl
```

## Properties
calculated volume: 189 Å³ per cell
final energy: -3.452 eV/atom
symmetry: R-3m
calculated formation energy: -1.385 eV per formula unit
theoretical density: 7.59 g/cm³

---

Entry from the Alexandria database: an optimized crystal structure of MnSCl3 (GGA-PBE).

```
MnSCl3
1.0
4.5681 0.0000 0.0000
0.0000 4.5681 0.0000
0.0000 0.0000 4.5681
S Mn Cl
1 1 3
Direct
0.5000 0.5000 0.5000 S
0.0000 0.0000 0.0000 Mn
0.0000 0.5000 0.0000 Cl
0.0000 0.0000 0.5000 Cl
0.5000 0.0000 0.0000 Cl
```

## Properties
calculated volume: 95 Å³ per cell
final energy: -3.447 eV/atom
relative energy among the computed polymorphs: 0.0000 eV/atom
symmetry: Pm-3m
theoretical density: 3.37 g/cm³
formation energy (no corrections): 0.321 eV per atom

---

Entry from the Alexandria database: an optimized crystal structure of Nd2Ni3Sb4Pd (GGA-PBE).

```
Nd2Ni3Sb4Pd
1.0
-1.5737 -3.8167 1.8860
-1.4701 -1.3999 -4.0596
8.8790 -4.4855 -1.6686
Nd Ni Sb Pd
2 3 4 1
Direct
0.5000 0.0000 0.2550 Nd
0.0000 0.5000 0.7450 Nd
0.0000 0.0000 0.5000 Ni
0.5000 0.0000 0.8817 Ni
0.0000 0.5000 0.1183 Ni
0.5000 0.5000 0.0000 Sb
0.0000 0.0000 0.0000 Sb
0.5000 0.0000 0.6342 Sb
0.0000 0.5000 0.3658 Sb
0.5000 0.5000 0.5000 Pd
```

## Properties
calculated volume: 208 Å³ per cell
final energy: -5.543 eV/atom
symmetry: P-4m2
theoretical density: 8.45 g/cm³
formation energy (no corrections): -0.687 eV per atom

---

Entry from the Alexandria database: an optimized crystal structure of PrTh2Pa (GGA-PBE).

```
PrTh2Pa
1.0
5.5847 0.0000 0.0000
2.7923 4.8365 0.0000
2.7923 1.6122 4.5599
Pr Pa Th
1 1 2
Direct
0.0000 0.0000 0.0000 Pr
0.5000 0.5000 0.5000 Pa
0.2500 0.2500 0.2500 Th
0.7500 0.7500 0.7500 Th
```

## Properties
calculated volume: 123 Å³ per cell
final energy: -6.963 eV/atom
relative energy among the computed polymorphs: 0.2086 eV/atom
symmetry: Fm-3m
calculated formation energy: 1.264 eV per formula unit
theoretical density: 11.27 g/cm³

---

Entry from the Alexandria database: an optimized crystal structure of TaCrTe4 (GGA-PBE).

```
TaCrTe4
1.0
3.7359 0.0000 0.0000
-1.8679 7.3496 -2.9909
0.0000 -0.1757 6.4329
Ta Cr Te
1 1 4
Direct
0.0000 0.0000 0.0000 Ta
0.5000 0.0000 0.5000 Cr
0.3787 0.7573 0.0560 Te
0.1178 0.2355 0.4594 Te
0.6213 0.2427 0.9440 Te
0.8822 0.7645 0.5406 Te
```

## Properties
calculated volume: 175 Å³ per cell
final energy: -5.932 eV/atom
relative energy among the computed polymorphs: 0.0000 eV/atom
symmetry: C2/m
theoretical density: 7.07 g/cm³
formation energy (no corrections): -0.258 eV per atom

---

> final energy of number 12 (TaCrTe4)?

-5.932 eV/atom

---

> The highest calculated volume belongs to which entry?

PmPr4Sm